1.
InTcS2: optimized geometry, PBE.

Summary:
- Calculated volume: 83.6 Å³ per cell
- Spin magnetization: 0.59 μB/f.u.
- Raw formation energy: 124.2 kJ/mol of formula units
- DOS(E_F): 4.7 states/eV/f.u.

a = 8.0392 Å, b = 8.0392 Å, c = 8.0392 Å
α = 25.31°, β = 25.31°, γ = 25.31°
With the nearest neighbours (Å) after each atom.
Fractional positions:
Tc1 0.0000 0.0000 0.0000  2 S 2.26
S1 0.9033 0.9033 0.9033  1 Tc 2.26
S2 0.0967 0.0967 0.0967  1 Tc 2.26
In1 0.5000 0.5000 0.5000  6 S 2.61

2.
Tb5Pm3Sm4: optimized geometry, PBE.

Summary:
- Energy of formation: 0.218 eV per atom
- Calculated volume: 406.1 Å³ per cell
- Spin magnetization: 0.19 μB/f.u.
- Distance to the lowest polymorph of the same formula: 0.205 eV per atom
- DOS(E_F): 19.2 states/eV/f.u.

a = 5.9749 Å, b = 8.6188 Å, c = 9.7665 Å
α = 105.98°, β = 72.19°, γ = 69.72°
With the nearest neighbours (Å) after each atom.
Fractional positions:
Pm1 0.5213 0.6873 0.2702  3 Tb 3.10-3.29, 2 Sm 3.30-3.42
Pm2 0.0000 0.5000 0.5000  2 Tb 2.99
Pm3 0.4787 0.3127 0.7298  3 Tb 3.10-3.29, 2 Sm 3.30-3.42
Sm1 0.1680 0.0431 0.6208  3 Pm 3.30-3.58, 3 Sm 3.62-3.68, 2 Tb 3.67
Sm2 0.8320 0.9569 0.3792  3 Pm 3.30-3.58, 3 Sm 3.62-3.68, 2 Tb 3.67
Sm3 0.1399 0.7774 0.9428  2 Sm 3.29-3.68, 1 Pm 3.42, 3 Tb 3.46-3.56
Sm4 0.8601 0.2226 0.0572  2 Sm 3.29-3.68, 1 Pm 3.42, 3 Tb 3.46-3.56
Tb1 0.5000 0.5000 0.5000  4 Pm 2.99-3.10
Tb2 0.2162 0.4564 0.1112  4 Pm 3.23-3.50, 3 Sm 3.46-3.56
Tb3 0.3749 0.0520 0.1981  2 Pm 3.29-3.51, 1 Tb 3.41, 2 Sm 3.67
Tb4 0.7838 0.5436 0.8888  4 Pm 3.23-3.50, 3 Sm 3.46-3.56
Tb5 0.6251 0.9480 0.8019  2 Pm 3.29-3.51, 1 Tb 3.41, 2 Sm 3.67

3.
ScNbGa2: optimized geometry, PBE.

Summary:
- Energy of formation: -0.230 eV per atom
- Calculated volume: 74.7 Å³ per cell
- Spin magnetization: 0.00 μB/f.u.
- Distance to the lowest polymorph of the same formula: 0.179 eV per atom
- DOS(E_F): 2.9 states/eV/f.u.

a = 3.1172 Å, b = 3.1172 Å, c = 9.0544 Å
α = 80.09°, β = 80.09°, γ = 60.00°
With the nearest neighbours (Å) after each atom.
Fractional positions:
Ga1 0.7479 0.7479 0.7562  3 Nb 2.81, 3 Sc 2.90, 6 Ga 3.12
Ga2 0.2521 0.2521 0.2438  3 Nb 2.81, 3 Sc 2.90, 6 Ga 3.12
Nb1 0.0000 0.0000 0.0000  6 Ga 2.81, 6 Nb 3.12
Sc1 0.5000 0.5000 0.5000  6 Ga 2.90, 6 Sc 3.12

4.
ZrTiRe3: optimized geometry, PBE.

Summary:
- Energy of formation: 1.233 eV per atom
- Calculated volume: 94.6 Å³ per cell
- Spin magnetization: 0.00 μB/f.u.
- Distance to the lowest polymorph of the same formula: 0.000 eV per atom
- DOS(E_F): 8.1 states/eV/f.u.

a = 4.5566 Å, b = 4.5566 Å, c = 4.5566 Å
α = 90.00°, β = 90.00°, γ = 90.00°
With the nearest neighbours (Å) after each atom.
Fractional positions:
Re1 0.5000 0.0000 0.0000  2 Ti 2.28
Re2 0.0000 0.5000 0.0000  2 Ti 2.28
Re3 0.0000 0.0000 0.5000  2 Ti 2.28
Zr1 0.5000 0.5000 0.5000  12 Re 3.22
Ti1 0.0000 0.0000 0.0000  6 Re 2.28

5.
Sc2HgMo: optimized geometry, PBE.

Summary:
- Energy of formation: 0.175 eV per atom
- Calculated volume: 81.7 Å³ per cell
- Spin magnetization: 0.00 μB/f.u.
- DOS(E_F): 4.3 states/eV/f.u.

a = 2.9751 Å, b = 2.9751 Å, c = 9.2285 Å
α = 90.00°, β = 90.00°, γ = 88.70°
With the nearest neighbours (Å) after each atom.
Fractional positions:
Sc1 0.5000 0.5000 0.2668  4 Sc 2.98, 4 Hg 3.06-3.09
Sc2 0.0000 0.0000 0.9776  4 Sc 2.98, 4 Mo 2.98-3.02
Mo1 0.5000 0.5000 0.7458  4 Mo 2.98, 4 Sc 2.98-3.02, 4 Hg 3.01-3.05
Hg1 0.0000 0.0000 0.5097  4 Hg 2.98, 4 Mo 3.01-3.05, 4 Sc 3.06-3.09

6.
Tc2Te3: optimized geometry, PBE.

Summary:
- Calculated volume: 118.8 Å³ per cell
- Spin magnetization: 0.00 μB/f.u.
- Distance to the lowest polymorph of the same formula: 0.000 eV per atom
- Raw formation energy: 47.1 kJ/mol of formula units
- DOS(E_F): 3.3 states/eV/f.u.

a = 12.0377 Å, b = 12.0377 Å, c = 12.0377 Å
α = 16.23°, β = 16.23°, γ = 16.23°
With the nearest neighbours (Å) after each atom.
Fractional positions:
Tc1 0.3921 0.3921 0.3921  6 Te 2.64-2.87
Tc2 0.6079 0.6079 0.6079  6 Te 2.64-2.87
Te1 0.2250 0.2250 0.2250  3 Tc 2.64
Te2 0.7750 0.7750 0.7750  3 Tc 2.64
Te3 0.0000 0.0000 0.0000  6 Tc 2.87